A plane-wave DFT calculation with PBE was carried out for a relaxed structure of MgIn.

Summary:
**Space-group type**: Pm-3n
**Formation energy**: 54 kJ per mole of atoms

Cell: 8.229 8.229 8.229 Å, 90.00 90.00 90.00°
Positions (direct):
Mg 0.000 0.250 0.500
Mg 0.000 0.750 0.500
Mg 0.250 0.500 0.000
Mg 0.500 0.000 0.250
Mg 0.500 0.000 0.750
Mg 0.750 0.500 0.000
In 0.000 0.500 0.250
In 0.000 0.500 0.750
In 0.250 0.000 0.500
In 0.500 0.250 0.000
In 0.500 0.750 0.000
In 0.750 0.000 0.500

A plane-wave DFT calculation with PBE was carried out for a relaxed structure of Mg7In.

Summary:
**Space-group type**: I4/mmm
**Formation energy**: -4 kJ per mole of atoms

Cell: 9.706 9.706 9.706 Å, 153.35 153.35 38.04°
Positions (direct):
Mg 0.000 0.000 0.000
Mg 0.124 0.624 0.500
Mg 0.249 0.249 0.000
Mg 0.376 0.876 0.500
Mg 0.624 0.124 0.500
Mg 0.751 0.751 0.000
Mg 0.876 0.376 0.500
In 0.500 0.500 0.000

A plane-wave DFT calculation with PBE was carried out for a relaxed structure of MgIn.

Summary:
**Space-group type**: P6_3/mmc
**Formation energy**: 5 kJ per mole of atoms

Cell: 5.184 5.184 8.881 Å, 90.00 90.00 120.00°
Positions (direct):
Mg 0.333 0.667 0.080
Mg 0.333 0.667 0.420
Mg 0.667 0.333 0.580
Mg 0.667 0.333 0.920
In 0.000 0.000 0.250
In 0.000 0.000 0.750
In 0.333 0.667 0.750
In 0.667 0.333 0.250

> Number 3 is which compound?

MgIn

Copy entry 1 word for word.
A plane-wave DFT calculation with PBE was carried out for a relaxed structure of MgIn.

Summary:
**Space-group type**: Pm-3n
**Formation energy**: 54 kJ per mole of atoms

Cell: 8.229 8.229 8.229 Å, 90.00 90.00 90.00°
Positions (direct):
Mg 0.000 0.250 0.500
Mg 0.000 0.750 0.500
Mg 0.250 0.500 0.000
Mg 0.500 0.000 0.250
Mg 0.500 0.000 0.750
Mg 0.750 0.500 0.000
In 0.000 0.500 0.250
In 0.000 0.500 0.750
In 0.250 0.000 0.500
In 0.500 0.250 0.000
In 0.500 0.750 0.000
In 0.750 0.000 0.500

> Number 2 is which compound?

Mg7In